First-principles (PBE) data for an optimized crystal structure of Al2BiIrCl, as listed in Alexandria.

abc: 4.601 4.601 5.258
angles: 90.00 90.00 90.00
Positions (direct):
1 Al 0.000 0.500 0.000
2 Al 0.500 0.000 0.000
3 Bi 0.000 0.000 0.500
4 Ir 0.500 0.500 0.500
5 Cl 0.000 0.000 0.000

- DOS at the Fermi energy: 3.23 states/eV per cell
- Energy relative to the elements, uncorrected: 1.072 eV per atom
- Total magnetization: 0.0 μB/f.u.

=====

First-principles (PBE) data for an optimized crystal structure of NaAl2BiCl, as listed in Alexandria.

abc: 5.681 5.681 4.652
angles: 90.00 90.00 90.00
Positions (direct):
1 Na 0.000 0.000 0.000
2 Al 0.000 0.500 0.000
3 Al 0.500 0.000 0.000
4 Bi 0.500 0.500 0.500
5 Cl 0.000 0.000 0.500

- DOS at the Fermi energy: 2.75 states/eV per cell
- Energy relative to the elements, uncorrected: 0.439 eV per atom
- Total magnetization: 0.0 μB/f.u.

=====

First-principles (PBE) data for an optimized crystal structure of AlBi3Se2ClO8, as listed in Alexandria.

abc: 8.096 9.475 7.009
angles: 90.00 90.00 90.00
Positions (direct):
1 Al 0.250 0.250 0.180
2 Al 0.750 0.750 0.820
3 Bi 0.000 0.000 0.500
4 Bi 0.000 0.500 0.500
5 Bi 0.250 0.250 0.653
6 Bi 0.500 0.000 0.500
7 Bi 0.500 0.500 0.500
8 Bi 0.750 0.750 0.347
9 Se 0.250 0.562 0.954
10 Se 0.250 0.938 0.954
11 Se 0.750 0.062 0.046
12 Se 0.750 0.438 0.046
13 Cl 0.250 0.750 0.419
14 Cl 0.750 0.250 0.581
15 O 0.082 0.582 0.808
16 O 0.082 0.918 0.808
17 O 0.250 0.109 0.360
18 O 0.250 0.126 0.975
19 O 0.250 0.374 0.975
20 O 0.250 0.391 0.360
21 O 0.418 0.582 0.808
22 O 0.418 0.918 0.808
23 O 0.582 0.082 0.192
24 O 0.582 0.418 0.192
25 O 0.750 0.609 0.640
26 O 0.750 0.626 0.025
27 O 0.750 0.874 0.025
28 O 0.750 0.891 0.640
29 O 0.918 0.082 0.192
30 O 0.918 0.418 0.192

- DOS at the Fermi energy: 7.18 states/eV per cell
- Energy relative to the elements, uncorrected: -1.038 eV per atom
- Total magnetization: 0.0 μB/f.u.

=====

First-principles (PBE) data for an optimized crystal structure of AlBiPCl2, as listed in Alexandria.

abc: 5.459 5.459 5.437
angles: 90.00 90.00 90.00
Positions (direct):
1 Al 0.000 0.000 0.000
2 Bi 0.500 0.500 0.500
3 P 0.500 0.500 0.000
4 Cl 0.000 0.500 0.500
5 Cl 0.500 0.000 0.500

- DOS at the Fermi energy: 3.06 states/eV per cell
- Energy relative to the elements, uncorrected: 0.175 eV per atom
- Total magnetization: 0.7 μB/f.u.

=====

Copy entry 1 word for word.
First-principles (PBE) data for an optimized crystal structure of Al2BiIrCl, as listed in Alexandria.

abc: 4.601 4.601 5.258
angles: 90.00 90.00 90.00
Positions (direct):
1 Al 0.000 0.500 0.000
2 Al 0.500 0.000 0.000
3 Bi 0.000 0.000 0.500
4 Ir 0.500 0.500 0.500
5 Cl 0.000 0.000 0.000

- DOS at the Fermi energy: 3.23 states/eV per cell
- Energy relative to the elements, uncorrected: 1.072 eV per atom
- Total magnetization: 0.0 μB/f.u.

=====

What is the DOS at the Fermi energy in the second record?
2.75 states/eV per cell

=====

The highest energy relative to the elements, uncorrected belongs to which entry?
Al2BiIrCl